Entry from Alexandria: crystalline YAsPb2Cl at its relaxed geometry (PBE-GGA).

Calculated values
crystal system	tetragonal
DOS at the Fermi energy	0.76	states/eV per atom
SG	No. 123
uncorrected formation energy	0.184	eV/atom

Unit cell a=5.422 b=5.422 c=5.055 alpha=90.00 beta=90.00 gamma=90.00
Atoms (fractional coordinates):
Y: 0.000 0.000 0.000
As: 0.500 0.500 0.000
Pb: 0.000 0.500 0.500
Pb: 0.500 0.000 0.500
Cl: 0.500 0.500 0.500